[1]
An optimized crystal structure of CsSn3Ge3, computed with PBE.

Computed properties:
electronic total energy = -3.86 eV per atom
E_form = -0.3 eV/f.u.
volume = 33.1 Å³ per atom

```
data_CsSn3Ge3
_space_group_name_H-M_alt 'P m -3 n'
_space_group_IT_number 223
_space_group_name_Hall '-P 4n 2 3'
_cell_length_a 7.737
_cell_length_b 7.737
_cell_length_c 7.737
_cell_angle_alpha 90.00
_cell_angle_beta 90.00
_cell_angle_gamma 90.00
loop_
_atom_site_label
_atom_site_type_symbol
_atom_site_fract_x
_atom_site_fract_y
_atom_site_fract_z
Cs1 Cs 0.000 0.000 0.000
Sn1 Sn 0.000 0.250 0.500
Ge1 Ge 0.000 0.500 0.250
```

[2]
An optimized crystal structure of CsSnGe, computed with PBE.

Computed properties:
electronic total energy = -3.30 eV per atom
E_form = -0.4 eV/f.u.
volume = 37.8 Å³ per atom

```
data_CsSnGe
_space_group_name_H-M_alt 'P 3 m 1'
_space_group_IT_number 156
_space_group_name_Hall 'P 3 -2"'
_cell_length_a 4.4915
_cell_length_b 4.4915
_cell_length_c 6.4923
_cell_angle_alpha 90.00
_cell_angle_beta 90.00
_cell_angle_gamma 120.00
loop_
_atom_site_label
_atom_site_type_symbol
_atom_site_fract_x
_atom_site_fract_y
_atom_site_fract_z
Cs1 Cs 0.0000 0.0000 0.0000
Sn1 Sn 0.6667 0.3333 0.4519
Ge1 Ge 0.3333 0.6667 0.5867
```

[3]
An optimized crystal structure of Cs3SnGe, computed with PBE.

Computed properties:
electronic total energy = -2.27 eV per atom
E_form = -0.2 eV/f.u.
energy above the most stable polymorph in this dataset = 0 meV per atom
volume = 52.3 Å³ per atom

```
data_Cs3SnGe
_space_group_name_H-M_alt 'C 1 2/m 1'
_space_group_IT_number 12
_space_group_name_Hall '-C 2y'
_cell_length_a 12.982
_cell_length_b 11.395
_cell_length_c 9.388
_cell_angle_alpha 90.00
_cell_angle_beta 131.14
_cell_angle_gamma 90.00
loop_
_atom_site_label
_atom_site_type_symbol
_atom_site_fract_x
_atom_site_fract_y
_atom_site_fract_z
Cs1 Cs 0.076 0.000 0.369
Cs2 Cs 0.218 0.316 0.767
Sn1 Sn 0.052 0.500 0.232
Ge1 Ge 0.204 0.500 0.121
```

[4]
An optimized crystal structure of CsSnGe2, computed with PBE.

Computed properties:
electronic total energy = -3.45 eV per atom
E_form = 0.3 eV/f.u.
volume = 34.1 Å³ per atom

```
data_CsSnGe2
_space_group_name_H-M_alt 'R -3 m'
_space_group_IT_number 166
_space_group_name_Hall '-R 3 2"'
_cell_length_a 4.7698
_cell_length_b 4.7698
_cell_length_c 20.7485
_cell_angle_alpha 90.00
_cell_angle_beta 90.00
_cell_angle_gamma 120.00
loop_
_atom_site_label
_atom_site_type_symbol
_atom_site_fract_x
_atom_site_fract_y
_atom_site_fract_z
Cs1 Cs 0.0000 0.0000 0.0000
Sn1 Sn 0.0000 0.0000 0.5000
Ge1 Ge 0.0000 0.0000 0.2062
```

[5]
An optimized crystal structure of Cs2Sn2Ge, computed with PBE.

Computed properties:
electronic total energy = -2.95 eV per atom
E_form = -0.4 eV/f.u.
energy above the most stable polymorph in this dataset = 0 meV per atom
volume = 42.8 Å³ per atom

```
data_Cs2Sn2Ge
_space_group_name_H-M_alt 'C 1 2/c 1'
_space_group_IT_number 15
_space_group_name_Hall '-C 2yc'
_cell_length_a 13.561
_cell_length_b 7.974
_cell_length_c 8.065
_cell_angle_alpha 90.00
_cell_angle_beta 101.20
_cell_angle_gamma 90.00
loop_
_atom_site_label
_atom_site_type_symbol
_atom_site_fract_x
_atom_site_fract_y
_atom_site_fract_z
Cs1 Cs 0.145 0.132 0.111
Sn1 Sn 0.117 0.371 0.525
Ge1 Ge 0.000 0.475 0.750
```

[6]
An optimized crystal structure of CsSnGe, computed with PBE.

Computed properties:
electronic total energy = -3.29 eV per atom
E_form = -0.4 eV/f.u.
volume = 39.0 Å³ per atom

```
data_CsSnGe
_space_group_name_H-M_alt 'C 1 2 1'
_space_group_IT_number 5
_space_group_name_Hall 'C 2y'
_cell_length_a 16.110
_cell_length_b 4.253
_cell_length_c 7.796
_cell_angle_alpha 90.00
_cell_angle_beta 118.90
_cell_angle_gamma 90.00
loop_
_atom_site_label
_atom_site_type_symbol
_atom_site_fract_x
_atom_site_fract_y
_atom_site_fract_z
Cs1 Cs 0.156 0.000 0.156
Sn1 Sn 0.109 0.020 0.608
Ge1 Ge 0.000 0.495 0.323
```

[7]
An optimized crystal structure of Cs3SnGe, computed with PBE.

Computed properties:
electronic total energy = -1.78 eV per atom
E_form = 2.3 eV/f.u.
energy above the most stable polymorph in this dataset = 493 meV per atom
volume = 78.3 Å³ per atom

```
data_Cs3SnGe
_space_group_name_H-M_alt 'P m -3 m'
_space_group_IT_number 221
_space_group_name_Hall '-P 4 2 3'
_cell_length_a 7.314
_cell_length_b 7.314
_cell_length_c 7.314
_cell_angle_alpha 90.00
_cell_angle_beta 90.00
_cell_angle_gamma 90.00
loop_
_atom_site_label
_atom_site_type_symbol
_atom_site_fract_x
_atom_site_fract_y
_atom_site_fract_z
Cs1 Cs 0.000 0.000 0.500
Sn1 Sn 0.000 0.000 0.000
Ge1 Ge 0.500 0.500 0.500
```

[8]
An optimized crystal structure of Cs2Sn2Ge, computed with PBE.

Computed properties:
electronic total energy = -2.24 eV per atom
E_form = 3.1 eV/f.u.
energy above the most stable polymorph in this dataset = 705 meV per atom
volume = 43.9 Å³ per atom

```
data_Cs2Sn2Ge
_space_group_name_H-M_alt 'P 4/m b m'
_space_group_IT_number 127
_space_group_name_Hall '-P 4 2ab'
_cell_length_a 11.457
_cell_length_b 11.457
_cell_length_c 3.347
_cell_angle_alpha 90.00
_cell_angle_beta 90.00
_cell_angle_gamma 90.00
loop_
_atom_site_label
_atom_site_type_symbol
_atom_site_fract_x
_atom_site_fract_y
_atom_site_fract_z
Cs1 Cs 0.125 0.375 0.000
Sn1 Sn 0.175 0.675 0.500
Ge1 Ge 0.000 0.000 0.000
```